Compound: SrTaP2
Source: Alexandria via LeMat-Bulk
Functional: PBE-GGA
Structure: optimized geometry

It has space group I-42d (No. 122), with a = 6.318 Å, b = 6.318 Å, c = 11.754 Å, α = 90.00°, β = 90.00° and γ = 90.00°. The inequivalent atoms are Sr at (0.000, 0.000, 0.000), Ta at (0.000, 0.000, 0.500) and P at (0.165, 0.250, 0.625).

The calculation puts the size of the total moment at 0.0 μB per formula unit. The value obtained for the volume is 29.3 Å³/atom.


Compound: SrTaP
Source: Alexandria via LeMat-Bulk
Functional: PBE-GGA
Structure: optimized geometry

It has space group P4/nmm (No. 129, origin choice 2), with a = 3.939 Å, b = 3.939 Å, c = 10.083 Å, α = 90.00°, β = 90.00° and γ = 90.00°. The inequivalent atoms are Sr at (0.250, 0.250, 0.190), Ta at (0.250, 0.750, 0.500) and P at (0.250, 0.250, 0.671).

The calculation puts the size of the total moment at 0.0 μB per formula unit. The value obtained for the volume is 26.1 Å³/atom.


Compound: Sr2TaP
Source: Alexandria via LeMat-Bulk
Functional: PBE-GGA
Structure: optimized geometry

It has space group I-42d (No. 122), with a = 11.248 Å, b = 11.248 Å, c = 4.788 Å, α = 90.00°, β = 90.00° and γ = 90.00°. The inequivalent atoms are Sr at (0.088, 0.750, 0.125), Ta at (0.000, 0.000, 0.500) and P at (0.000, 0.000, 0.000).

The calculation puts the size of the total moment at 2.4 μB per formula unit. The value obtained for the volume is 37.9 Å³/atom.


Compound: Sr2TaP
Source: Alexandria via LeMat-Bulk
Functional: PBE-GGA
Structure: optimized geometry

It has space group P4/mmm (No. 123), with a = 5.020 Å, b = 5.020 Å, c = 4.330 Å, α = 90.00°, β = 90.00° and γ = 90.00°. The inequivalent atoms are Sr at (0.000, 0.500, 0.000), Ta at (0.000, 0.000, 0.500) and P at (0.500, 0.500, 0.500).

The calculation puts the size of the total moment at 3.6 μB per formula unit. The value obtained for the volume is 27.3 Å³/atom.


Compound: SrTaP
Source: Alexandria via LeMat-Bulk
Functional: PBE-GGA
Structure: optimized geometry

It has space group I4mm (No. 107), with a = 3.464 Å, b = 3.464 Å, c = 11.631 Å, α = 90.00°, β = 90.00° and γ = 90.00°. The inequivalent atoms are Sr at (0.000, 0.000, 0.000), Ta at (0.000, 0.000, 0.284) and P at (0.000, 0.000, 0.729).

The calculation puts the size of the total moment at 0.0 μB per formula unit. The value obtained for the volume is 23.3 Å³/atom.


Compound: SrTaP2
Source: Alexandria via LeMat-Bulk
Functional: PBE-GGA
Structure: optimized geometry

It has space group P4/mmm (No. 123), with a = 4.869 Å, b = 4.869 Å, c = 3.971 Å, α = 90.00°, β = 90.00° and γ = 90.00°. The inequivalent atoms are Sr at (0.000, 0.000, 0.000), Ta at (0.500, 0.500, 0.500) and P at (0.000, 0.500, 0.500).

The calculation puts the size of the total moment at 0.0 μB per formula unit. The value obtained for the volume is 23.5 Å³/atom.


| no. | energy relative to the elements (eV/atom) |
| --- | --- |
| 1 | -0.471 |
| 2 | -0.729 |
| 3 | 0.191 |
| 4 | 0.524 |
| 5 | -0.238 |
| 6 | -0.460 |